Run 1
Entry from Alexandria via LeMat-Bulk: a relaxed ZrTcNi2 crystal (GGA-PBE).

a = 4.555 Å, b = 5.421 Å, c = 5.469 Å
α = 61.20°, β = 81.56°, γ = 81.11°
Fractional positions:
Zr1 0.000 0.000 0.000
Zr2 0.484 0.652 0.735
Tc1 0.437 0.209 0.270
Tc2 0.959 0.999 0.488
Ni1 0.032 0.485 0.499
Ni2 0.513 0.700 0.223
Ni3 0.515 0.184 0.727
Ni4 0.950 0.504 0.021

Output
Magnetic moment = 0.0 μB per formula unit
Theoretical density = 8.74 g/cm3

---

Run 2
Entry from Alexandria via LeMat-Bulk: a relaxed ZrTcNi2 crystal (GGA-PBE).

a = 4.641 Å, b = 4.641 Å, c = 4.669 Å
α = 102.67°, β = 102.67°, γ = 36.54°
Fractional positions:
Zr1 0.000 0.000 0.000
Tc1 0.765 0.765 0.323
Ni1 0.243 0.243 0.760
Ni2 0.508 0.508 0.502

Output
Magnetic moment = 0.0 μB per formula unit
Theoretical density = 8.74 g/cm3

---

Which is most stable, and by how much? run 1, by 0.130 eV/atom.

---

Run 1
Entry from Alexandria via LeMat-Bulk: a relaxed HfSiF2 crystal (GGA-PBE).

a = 4.246 Å, b = 4.246 Å, c = 4.246 Å
α = 60.00°, β = 60.00°, γ = 60.00°
Fractional positions:
Hf1 0.000 0.000 0.000
Si1 0.500 0.500 0.500
F1 0.250 0.250 0.250
F2 0.750 0.750 0.750

Output
Magnetic moment = 0.0 μB per formula unit
Theoretical density = 7.50 g/cm3

---

Run 2
Entry from Alexandria via LeMat-Bulk: a relaxed HfSiF2 crystal (GGA-PBE).

a = 8.115 Å, b = 8.115 Å, c = 8.115 Å
α = 152.27°, β = 152.27°, γ = 39.62°
Fractional positions:
Hf1 0.000 0.000 0.000
Hf2 0.750 0.250 0.500
Si1 0.250 0.750 0.500
Si2 0.500 0.500 0.000
F1 0.055 0.625 0.930
F2 0.375 0.305 0.430
F3 0.695 0.125 0.070
F4 0.875 0.945 0.570

Output
Magnetic moment = 0.0 μB per formula unit
Theoretical density = 7.03 g/cm3

---

Which is most stable, and by how much? run 2, by 0.772 eV/atom.

---

Run 1
Entry from Alexandria via LeMat-Bulk: a relaxed NiAs2W crystal (GGA-PBE).

a = 4.713 Å, b = 4.713 Å, c = 4.285 Å
α = 102.55°, β = 102.55°, γ = 40.67°
Fractional positions:
Ni1 0.000 0.000 0.000
As1 0.495 0.495 0.520
As2 0.742 0.742 0.109
W1 0.219 0.219 0.607

Output
Magnetic moment = 0.0 μB per formula unit
Theoretical density = 10.80 g/cm3

---

Run 2
Entry from Alexandria via LeMat-Bulk: a relaxed NiAs2W crystal (GGA-PBE).

a = 3.083 Å, b = 4.358 Å, c = 4.732 Å
α = 90.00°, β = 100.18°, γ = 90.00°
Fractional positions:
Ni1 0.000 0.000 0.000
As1 0.194 0.000 0.497
As2 0.787 0.500 0.825
W1 0.452 0.500 0.264

Output
Magnetic moment = 0.0 μB per formula unit
Theoretical density = 10.41 g/cm3

---

Which is most stable, and by how much? run 1, by 0.042 eV/atom.

---

Run 1
Entry from Alexandria via LeMat-Bulk: a relaxed MgTc crystal (GGA-PBE).

a = 4.320 Å, b = 4.320 Å, c = 4.320 Å
α = 60.00°, β = 60.00°, γ = 60.00°
Fractional positions:
Mg1 0.000 0.000 0.000
Tc1 0.250 0.250 0.250

Output
Magnetic moment = 2.9 μB per formula unit
Theoretical density = 3.56 g/cm3

---

Run 2
Entry from Alexandria via LeMat-Bulk: a relaxed MgTc crystal (GGA-PBE).

a = 2.875 Å, b = 2.883 Å, c = 9.580 Å
α = 81.46°, β = 81.42°, γ = 60.12°
Fractional positions:
Mg1 0.000 0.000 0.000
Mg2 0.432 0.430 0.709
Tc1 0.182 0.177 0.460
Tc2 0.584 0.581 0.249

Output
Magnetic moment = 0.0 μB per formula unit
Theoretical density = 5.99 g/cm3

---

Which is most stable, and by how much? run 2, by 2.199 eV/atom.

---

Run 1
Entry from Alexandria via LeMat-Bulk: a relaxed SrBe2Co crystal (GGA-PBE).

a = 4.696 Å, b = 4.696 Å, c = 4.696 Å
α = 128.36°, β = 128.36°, γ = 76.04°
Fractional positions:
Sr1 0.000 0.000 0.000
Be1 0.250 0.750 0.500
Be2 0.750 0.250 0.500
Co1 0.500 0.500 0.000

Output
Magnetic moment = 0.0 μB per formula unit
Theoretical density = 4.42 g/cm3

---

Run 2
Entry from Alexandria via LeMat-Bulk: a relaxed SrBe2Co crystal (GGA-PBE).

a = 2.951 Å, b = 2.933 Å, c = 6.789 Å
α = 90.00°, β = 90.08°, γ = 90.00°
Fractional positions:
Sr1 0.000 0.000 0.000
Be1 0.499 0.500 0.348
Be2 0.501 0.500 0.652
Co1 0.000 0.000 0.500

Output
Magnetic moment = 0.6 μB per formula unit
Theoretical density = 4.65 g/cm3

---

Which is most stable, and by how much? run 2, by 0.444 eV/atom.

---

Run 1
Entry from Alexandria via LeMat-Bulk: a relaxed CdHgTe2 crystal (GGA-PBE).

a = 9.370 Å, b = 9.370 Å, c = 12.855 Å
α = 90.47°, β = 90.47°, γ = 87.33°
Fractional positions:
Cd1 0.012 0.724 0.861
Cd2 0.016 0.701 0.511
Cd3 0.276 0.988 0.639
Cd4 0.299 0.984 0.989
Cd5 0.701 0.016 0.011
Cd6 0.724 0.012 0.361
Cd7 0.984 0.299 0.489
Cd8 0.988 0.276 0.139
Hg1 0.006 0.746 0.137
Hg2 0.254 0.994 0.363
Hg3 0.298 0.455 0.305
Hg4 0.455 0.298 0.805
Hg5 0.545 0.702 0.195
Hg6 0.702 0.545 0.695
Hg7 0.746 0.006 0.637
Hg8 0.994 0.254 0.863
Te1 0.007 0.501 0.297
Te2 0.011 0.989 0.750
Te3 0.236 0.276 0.003
Te4 0.248 0.697 0.006
Te5 0.276 0.236 0.503
Te6 0.303 0.752 0.494
Te7 0.426 0.574 0.750
Te8 0.499 0.993 0.203
Te9 0.501 0.007 0.797
Te10 0.574 0.426 0.250
Te11 0.697 0.248 0.506
Te12 0.724 0.764 0.497
Te13 0.752 0.303 0.994
Te14 0.764 0.724 0.997
Te15 0.989 0.011 0.250
Te16 0.993 0.499 0.703

Output
Magnetic moment = 0.0 μB per formula unit
Theoretical density = 6.70 g/cm3

---

Run 2
Entry from Alexandria via LeMat-Bulk: a relaxed CdHgTe2 crystal (GGA-PBE).

a = 4.579 Å, b = 4.579 Å, c = 7.428 Å
α = 90.00°, β = 90.00°, γ = 120.00°
Fractional positions:
Cd1 0.000 0.000 0.000
Hg1 0.333 0.667 0.472
Te1 0.333 0.667 0.855
Te2 0.667 0.333 0.307

Output
Magnetic moment = 0.0 μB per formula unit
Theoretical density = 7.00 g/cm3

---

Which is most stable, and by how much? run 1, by 0.011 eV/atom.